This record from the Alexandria database describes a geometry-optimized InPbCl2 structure. The functional is PBE.

Size of the total moment: 0.00 μB per formula unit
Raw formation energy: -0.59 eV per atom

a b c (Å): 3.4844 4.3203 7.2319
angles (deg): 90.00 90.00 90.00
With the nearest neighbours (Å) after each atom.
Space group Pmmm (No. 47)
Symmetry-distinct sites (fractional):
In (0.0000, 0.0000, 0.0000)  8 Cl 3.34, 2 In 3.48, 2 Pb 3.62
Pb (0.0000, 0.0000, 0.5000)  8 Cl 3.28, 2 Pb 3.48, 2 In 3.62
Cl (0.5000, 0.5000, 0.2573)  4 Pb 3.28, 4 In 3.34, 3 Cl 3.48-3.51

***

This record from the Alexandria database describes a geometry-optimized Li12MgZn6 structure. The functional is PBE.

Size of the total moment: 0.00 μB per formula unit
E_form: -180 kJ/mol of formula units

a b c (Å): 9.6489 9.6489 12.2436
angles (deg): 90.00 90.00 120.00
With the nearest neighbours (Å) after each atom.
Space group R-3 (No. 148, hexagonal axes)
Symmetry-distinct sites (fractional):
Li (0.0323, 0.1943, 0.3071)  5 Li 2.72-3.01, 4 Zn 2.73-2.94, 1 Mg 2.93
Li (0.0608, 0.8398, 0.9158)  4 Zn 2.71-2.91, 5 Li 2.81-2.93
Mg (0.0000, 0.0000, 0.5000)  6 Zn 2.72, 6 Li 2.93
Zn (0.0235, 0.4379, 0.1998)  8 Li 2.71-2.94, 1 Mg 2.72, 2 Zn 2.80

***

This record from the Alexandria database describes a geometry-optimized CuRuRh2 structure. The functional is PBE.

Size of the total moment: 0.91 μB per formula unit
E_form: 119 kJ/mol of formula units

a b c (Å): 2.7227 4.4996 4.5715
angles (deg): 90.00 90.00 90.00
With the nearest neighbours (Å) after each atom.
Space group Pmmm (No. 47)
Symmetry-distinct sites (fractional):
Cu (0.0000, 0.0000, 0.0000)  4 Rh 2.63, 4 Ru 2.66, 2 Cu 2.72
Ru (0.5000, 0.0000, 0.5000)  4 Rh 2.63, 4 Cu 2.66, 2 Ru 2.72
Rh (0.0000, 0.5000, 0.5000)  4 Ru 2.63, 6 Rh 2.66-2.72
Rh (0.5000, 0.5000, 0.0000)  4 Cu 2.63, 6 Rh 2.66-2.72

***

This record from the Alexandria database describes a geometry-optimized KDySiO4 structure. The functional is PBE.

Size of the total moment: 0.00 μB per formula unit
Raw formation energy: -2.90 eV per atom

a b c (Å): 5.5993 5.6617 7.3264
angles (deg): 90.00 105.99 90.00
With the nearest neighbours (Å) after each atom.
Space group P2_1/m (No. 11)
Symmetry-distinct sites (fractional):
K (0.1863, 0.2500, 0.4253)  6 O 2.69-3.01
Dy (0.2858, 0.2500, 0.9555)  6 O 2.28-2.41
Si (0.2510, 0.7500, 0.1641)  4 O 1.63-1.66
O (0.0654, 0.7500, 0.3013)  1 Si 1.63
O (0.0672, 0.7500, 0.9446)  1 Si 1.65
O (0.4457, 0.5239, 0.1840)  1 Si 1.66

***

Copy entry 4 word for word.
This record from the Alexandria database describes a geometry-optimized KDySiO4 structure. The functional is PBE.

Size of the total moment: 0.00 μB per formula unit
Raw formation energy: -2.90 eV per atom

a b c (Å): 5.5993 5.6617 7.3264
angles (deg): 90.00 105.99 90.00
With the nearest neighbours (Å) after each atom.
Space group P2_1/m (No. 11)
Symmetry-distinct sites (fractional):
K (0.1863, 0.2500, 0.4253)  6 O 2.69-3.01
Dy (0.2858, 0.2500, 0.9555)  6 O 2.28-2.41
Si (0.2510, 0.7500, 0.1641)  4 O 1.63-1.66
O (0.0654, 0.7500, 0.3013)  1 Si 1.63
O (0.0672, 0.7500, 0.9446)  1 Si 1.65
O (0.4457, 0.5239, 0.1840)  1 Si 1.66

***

The highest size of the total moment belongs to which entry?
CuRuRh2

***

The highest size of the total moment belongs to which entry?
CuRuRh2